Compound: Zn5InCu6
Source: Alexandria
Functional: GGA-PBE
Structure: optimized geometry

```
Zn5InCu6
1.0
3.9279 -0.0219 1.3325
0.0322 6.4180 0.0107
0.0372 -0.0111 6.5539
Zn Cu In
5 6 1
Direct
0.6637 0.5000 0.6699
0.3304 0.0000 0.3394
0.0000 0.5000 0.0000
0.6696 0.0000 0.6606
0.3363 0.5000 0.3301
0.8287 0.7387 0.3451
0.8287 0.2613 0.3451
0.5000 0.2680 0.0000
0.5000 0.7320 0.0000
0.1713 0.7387 0.6549
0.1713 0.2613 0.6549
0.0000 0.0000 0.0000
```

Calculated values
The value obtained for the total energy is -2.849 eV per atom. The space group is No. 10. The value obtained for the calculated formation energy is -0.04 eV/atom.